Density functional theory data (PBE-GGA) for BaLiZn3 after structural relaxation.

Unit cell a=9.8029 b=4.4261 c=11.1603 alpha=90.00 beta=90.00 gamma=90.00
Positions (direct):
1 Ba 0.1685 0.2500 0.0671
2 Ba 0.3315 0.7500 0.5671
3 Ba 0.6685 0.2500 0.4329
4 Ba 0.8315 0.7500 0.9329
5 Li 0.0487 0.2500 0.4048
6 Li 0.4513 0.7500 0.9048
7 Li 0.5487 0.2500 0.0952
8 Li 0.9513 0.7500 0.5952
9 Zn 0.0711 0.2500 0.7179
10 Zn 0.1603 0.7500 0.8181
11 Zn 0.1833 0.7500 0.3014
12 Zn 0.3167 0.2500 0.8014
13 Zn 0.3397 0.2500 0.3181
14 Zn 0.4289 0.7500 0.2179
15 Zn 0.5711 0.2500 0.7821
16 Zn 0.6603 0.7500 0.6819
17 Zn 0.6833 0.7500 0.1986
18 Zn 0.8167 0.2500 0.6986
19 Zn 0.8397 0.2500 0.1819
20 Zn 0.9289 0.7500 0.2821

**Energy relative to the lowest polymorph listed for this composition**: 0.0000 eV/atom
**Space group**: Pnma
**Calculated formation energy**: -143 meV per atom
**ρ**: 4.671 g/cm³